[1]
Here is BaTa2Ru after structural relaxation from Alexandria. Energies are from PBE.

Calculated values
Total magnetization, Bohr magnetons per cell: 0.00
Calculated formation energy, eV per atom: 1.1109
E_tot, eV/atom: -7.62
ρ, Mg/m³: 8.236

Unit cell a=9.436 b=9.436 c=9.436 alpha=147.47 beta=147.47 gamma=46.67
Atoms (fractional coordinates):
Ba 0.375 0.625 0.750
Ba 0.625 0.375 0.250
Ta 0.000 0.000 0.000
Ta 0.000 0.000 0.500
Ta 0.000 0.500 0.000
Ta 0.500 0.000 0.500
Ru 0.125 0.875 0.250
Ru 0.875 0.125 0.750

***

[2]
Here is Ho2Al9Fe3 after structural relaxation from Alexandria. Energies are from PBE.

Calculated values
Total magnetization, Bohr magnetons per cell: 1.09
Calculated formation energy, eV per atom: -0.4190
E_tot, eV/atom: -5.29
ρ, Mg/m³: 5.491

Unit cell a=7.425 b=7.425 c=10.376 alpha=111.12 beta=111.12 gamma=59.35
Atoms (fractional coordinates):
Ho 0.088 0.252 0.249
Ho 0.252 0.088 0.749
Ho 0.748 0.912 0.251
Ho 0.912 0.748 0.751
Al 0.023 0.857 0.070
Al 0.143 0.977 0.430
Al 0.190 0.359 0.566
Al 0.207 0.581 0.253
Al 0.318 0.487 0.955
Al 0.359 0.190 0.066
Al 0.361 0.639 0.750
Al 0.419 0.793 0.247
Al 0.487 0.318 0.455
Al 0.513 0.682 0.545
Al 0.581 0.207 0.753
Al 0.639 0.361 0.250
Al 0.641 0.810 0.934
Al 0.682 0.513 0.045
Al 0.793 0.419 0.747
Al 0.810 0.641 0.434
Al 0.857 0.023 0.570
Al 0.977 0.143 0.930
Fe 0.000 0.500 0.000
Fe 0.155 0.672 0.498
Fe 0.328 0.845 0.002
Fe 0.500 0.000 0.500
Fe 0.672 0.155 0.998
Fe 0.845 0.328 0.502

***

[3]
Here is Tb3Pm7Ho2 after structural relaxation from Alexandria. Energies are from PBE.

Calculated values
Total magnetization, Bohr magnetons per cell: 0.00
Calculated formation energy, eV per atom: 0.1099
E_tot, eV/atom: -4.58
ρ, Mg/m³: 7.534

Unit cell a=19.347 b=19.347 c=3.623 alpha=90.00 beta=90.00 gamma=162.78
Atoms (fractional coordinates):
Tb 0.000 0.000 0.000
Tb 0.185 0.815 0.000
Tb 0.815 0.185 0.000
Pm 0.093 0.907 0.500
Pm 0.268 0.732 0.500
Pm 0.427 0.573 0.000
Pm 0.500 0.500 0.500
Pm 0.573 0.427 0.000
Pm 0.732 0.268 0.500
Pm 0.907 0.093 0.500
Ho 0.351 0.649 0.500
Ho 0.649 0.351 0.500

***

[4]
Here is KCaN after structural relaxation from Alexandria. Energies are from PBE.

Calculated values
Total magnetization, Bohr magnetons per cell: 0.11
Uncorrected formation energy, eV/atom: -0.117
E_tot, eV/atom: -3.92
ρ, Mg/m³: 1.727

Unit cell a=6.942 b=3.990 c=12.938 alpha=90.00 beta=90.00 gamma=90.00
Atoms (fractional coordinates):
K 0.079 0.250 0.102
K 0.421 0.750 0.602
K 0.579 0.250 0.398
K 0.921 0.750 0.898
Ca 0.078 0.750 0.415
Ca 0.422 0.250 0.915
Ca 0.578 0.750 0.085
Ca 0.922 0.250 0.585
N 0.201 0.250 0.480
N 0.299 0.750 0.980
N 0.701 0.250 0.020
N 0.799 0.750 0.520

***

Please write out number 3 again, unchanged.
Here is Tb3Pm7Ho2 after structural relaxation from Alexandria. Energies are from PBE.

Calculated values
Total magnetization, Bohr magnetons per cell: 0.00
Calculated formation energy, eV per atom: 0.1099
E_tot, eV/atom: -4.58
ρ, Mg/m³: 7.534

Unit cell a=19.347 b=19.347 c=3.623 alpha=90.00 beta=90.00 gamma=162.78
Atoms (fractional coordinates):
Tb 0.000 0.000 0.000
Tb 0.185 0.815 0.000
Tb 0.815 0.185 0.000
Pm 0.093 0.907 0.500
Pm 0.268 0.732 0.500
Pm 0.427 0.573 0.000
Pm 0.500 0.500 0.500
Pm 0.573 0.427 0.000
Pm 0.732 0.268 0.500
Pm 0.907 0.093 0.500
Ho 0.351 0.649 0.500
Ho 0.649 0.351 0.500